Below is an optimized crystal structure of LaNd3Tl, with properties calculated at the GGA-PBE level.

Computed properties:
**Energy of formation**: 0.3133 eV/atom
**Symmetry**: R-3m
**Excess energy over the best structure of this formula in the dataset**: 0.450 eV per atom
**Total magnetization**: 1.59 μB per cell
**E**: -0.1472 Ha/atom

Cell lengths 6.331, 6.331, 6.331 Å; angles 109.05, 109.05, 109.05 degrees
Atoms (fractional coordinates):
La 0.000 0.000 0.000
Nd 0.000 0.500 0.500
Nd 0.500 0.000 0.500
Nd 0.500 0.500 0.000
Tl 0.500 0.500 0.500